DFT (PBE) results for an optimized crystal structure of MnAlCd2.

Results
E_form in eV per atom: 0.22

a = 2.902 Å, b = 5.133 Å, c = 5.014 Å
α = 90.00°, β = 91.38°, γ = 90.00°
Space group P2/m (No. 10)
Inequivalent atoms, fractional coordinates:
Mn1 0.000 0.000 0.000 [1 per cell]
Al1 0.500 0.000 0.500 [1 per cell]
Cd1 0.265 0.500 0.753 [2 per cell]